1.
## Hf3AlTc (PBE-GGA)

Data for an optimized crystal structure of Hf3AlTc.

Structure (POSCAR):
```
Hf3AlTc
1.0
-0.163 3.879 3.077
-1.613 -2.952 3.636
4.681 -0.883 1.360
Hf Tc Al
3 1 1
Cartesian
-0.807 -1.476 1.818
2.340 -0.441 0.680
-0.081 1.939 1.538
0.000 0.000 0.000
1.453 0.022 4.037
```

Calculated values
Crystal system = cubic
ΔH_f (0 K) = 2.60 eV/f.u.
M_tot = 0.000 μB per cell
Space group = No. 221

---

2.
## Hf3Al3Tc2 (PBE-GGA)

Data for an optimized crystal structure of Hf3Al3Tc2.

Structure (POSCAR):
```
Hf3Al3Tc2
1.0
-2.801 -0.444 -1.809
-2.643 -4.174 5.117
-1.207 7.008 0.150
Hf Al Tc
3 3 2
Cartesian
-3.000 0.955 1.284
-2.946 -2.662 2.086
-2.106 3.874 -0.817
-2.951 2.172 4.037
-0.617 -0.975 1.195
-0.282 1.636 0.035
-1.686 3.280 1.806
-2.164 -0.447 3.461
```

Calculated values
Crystal system = hexagonal
ΔH_f (0 K) = -2.41 eV/f.u.
M_tot = 0.000 μB per cell
Space group = No. 189